DFT (SCAN) results for a crystal of Rb2LiAg relaxed with PBEsol.

Its density is 2.91 g/cm3. The volume comes out at 652 Å³ per cell. The calculation puts the energy of formation at 0.219 eV per atom. The value obtained for the energy is -297.4 eV/cell. Its density of states at the Fermi level is 0.29 states/eV/atom.

The structure in CIF format:
```
data_Rb2LiAg
_symmetry_space_group_name_H-M 'F m -3 m'
_symmetry_Int_Tables_number 225
_symmetry_space_group_name_Hall '-F 4 2 3'
_cell_length_a 8.6734
_cell_length_b 8.6734
_cell_length_c 8.6734
_cell_angle_alpha 90.00
_cell_angle_beta 90.00
_cell_angle_gamma 90.00
loop_
_atom_site_label
_atom_site_type_symbol
_atom_site_fract_x
_atom_site_fract_y
_atom_site_fract_z
Rb1 Rb 0.2500 0.2500 0.2500
Li1 Li 0.0000 0.0000 0.0000
Ag1 Ag 0.0000 0.0000 0.5000
```

DFT (SCAN) results for a crystal of SrTeN2F relaxed with PBEsol.

Its density is 5.77 g/cm3. The volume comes out at 76 Å³ per cell. The value obtained for the energy is -84.1 eV/cell. The formation energy from raw total energies is -0.50 eV/atom. Its density of states at the Fermi level is 0.23 states/eV/atom.

The structure in CIF format:
```
data_SrTeN2F
_symmetry_space_group_name_H-M 'P 4/m m m'
_symmetry_Int_Tables_number 123
_symmetry_space_group_name_Hall '-P 4 2'
_cell_length_a 4.1237
_cell_length_b 4.1237
_cell_length_c 4.4415
_cell_angle_alpha 90.00
_cell_angle_beta 90.00
_cell_angle_gamma 90.00
loop_
_atom_site_label
_atom_site_type_symbol
_atom_site_fract_x
_atom_site_fract_y
_atom_site_fract_z
Sr1 Sr 0.0000 0.0000 0.0000
Te1 Te 0.5000 0.5000 0.5000
N1 N 0.0000 0.5000 0.5000
F1 F 0.5000 0.5000 0.0000
```

DFT (SCAN) results for a crystal of Ba2ZnNiRh relaxed with PBEsol.

Its density is 5.39 g/cm3. The volume comes out at 155 Å³ per cell. The calculation puts the energy of formation at 0.189 eV per atom. The value obtained for the energy is -141.6 eV/cell. Its density of states at the Fermi level is 0.68 states/eV/atom.

The structure in CIF format:
```
data_Ba2ZnNiRh
_symmetry_space_group_name_H-M 'P 4/m m m'
_symmetry_Int_Tables_number 123
_symmetry_space_group_name_Hall '-P 4 2'
_cell_length_a 5.8277
_cell_length_b 5.8277
_cell_length_c 4.5537
_cell_angle_alpha 90.00
_cell_angle_beta 90.00
_cell_angle_gamma 90.00
loop_
_atom_site_label
_atom_site_type_symbol
_atom_site_fract_x
_atom_site_fract_y
_atom_site_fract_z
Ba1 Ba 0.0000 0.5000 0.0000
Zn1 Zn 0.0000 0.0000 0.5000
Ni1 Ni 0.5000 0.5000 0.5000
Rh1 Rh 0.5000 0.5000 0.0000
```

DFT (SCAN) results for a crystal of AsPd3Pb2 relaxed with PBEsol.

Its density is 11.48 g/cm3. The volume comes out at 468 Å³ per cell. The calculation puts the energy of formation at -0.364 eV per atom. The value obtained for the energy is -1089.0 eV/cell. Its density of states at the Fermi level is 0.30 states/eV/atom.

The structure in CIF format:
```
data_AsPd3Pb2
_symmetry_space_group_name_H-M 'C m c 21'
_symmetry_Int_Tables_number 36
_symmetry_space_group_name_Hall 'C 2c -2'
_cell_length_a 11.9097
_cell_length_b 6.8195
_cell_length_c 5.7604
_cell_angle_alpha 90.00
_cell_angle_beta 90.00
_cell_angle_gamma 90.00
loop_
_atom_site_label
_atom_site_type_symbol
_atom_site_fract_x
_atom_site_fract_y
_atom_site_fract_z
As1 As 0.0000 0.2078 0.0000
Pd1 Pd 0.0000 0.4455 0.6780
Pd2 Pd 0.1201 0.0462 0.7000
Pb1 Pb 0.1796 0.3372 0.3909
```

DFT (SCAN) results for a crystal of CaLaY relaxed with PBEsol.

Its density is 4.25 g/cm3. The volume comes out at 209 Å³ per cell. The calculation puts the energy of formation at 0.064 eV per atom. The value obtained for the energy is -160.8 eV/cell. Its density of states at the Fermi level is 1.27 states/eV/atom. For the offset from the most stable computed form, the calculation gives 0.011 eV per atom.

The structure in CIF format:
```
data_CaLaY
_symmetry_space_group_name_H-M 'I 4 m m'
_symmetry_Int_Tables_number 107
_symmetry_space_group_name_Hall 'I 4 -2'
_cell_length_a 3.6584
_cell_length_b 3.6584
_cell_length_c 15.6349
_cell_angle_alpha 90.00
_cell_angle_beta 90.00
_cell_angle_gamma 90.00
loop_
_atom_site_label
_atom_site_type_symbol
_atom_site_fract_x
_atom_site_fract_y
_atom_site_fract_z
Ca1 Ca 0.0000 0.0000 0.0000
La1 La 0.0000 0.0000 0.6790
Y1 Y 0.0000 0.0000 0.3288
```

DFT (SCAN) results for a crystal of Zr2TaSi relaxed with PBEsol.

Its density is 8.69 g/cm3. The volume comes out at 150 Å³ per cell. The value obtained for the energy is -276.9 eV/cell. The formation energy from raw total energies is -0.11 eV/atom. Its density of states at the Fermi level is 1.32 states/eV/atom.

The structure in CIF format:
```
data_Zr2TaSi
_symmetry_space_group_name_H-M 'C m m 2'
_symmetry_Int_Tables_number 35
_symmetry_space_group_name_Hall 'C 2 -2'
_cell_length_a 3.6549
_cell_length_b 4.7034
_cell_length_c 8.7027
_cell_angle_alpha 90.00
_cell_angle_beta 90.00
_cell_angle_gamma 90.00
loop_
_atom_site_label
_atom_site_type_symbol
_atom_site_fract_x
_atom_site_fract_y
_atom_site_fract_z
Zr1 Zr 0.0000 0.0000 0.0000
Zr2 Zr 0.0000 0.5000 0.3025
Ta1 Ta 0.0000 0.0000 0.5706
Si1 Si 0.0000 0.5000 0.7746
```

DFT (SCAN) results for a crystal of CsNiS2Cl relaxed with PBEsol.

Its density is 2.92 g/cm3. The volume comes out at 165 Å³ per cell. The value obtained for the energy is -75.0 eV/cell. The formation energy from raw total energies is 1.24 eV/atom. Its density of states at the Fermi level is 0.98 states/eV/atom.

The structure in CIF format:
```
data_CsNiS2Cl
_symmetry_space_group_name_H-M 'P 4/m m m'
_symmetry_Int_Tables_number 123
_symmetry_space_group_name_Hall '-P 4 2'
_cell_length_a 5.2180
_cell_length_b 5.2180
_cell_length_c 6.0760
_cell_angle_alpha 90.00
_cell_angle_beta 90.00
_cell_angle_gamma 90.00
loop_
_atom_site_label
_atom_site_type_symbol
_atom_site_fract_x
_atom_site_fract_y
_atom_site_fract_z
Cs1 Cs 0.0000 0.0000 0.0000
Ni1 Ni 0.5000 0.5000 0.5000
S1 S 0.0000 0.5000 0.0000
Cl1 Cl 0.0000 0.0000 0.5000
```

DFT (SCAN) results for a crystal of KNa2SrBe relaxed with PBEsol.

Its density is 1.50 g/cm3. The volume comes out at 201 Å³ per cell. The calculation puts the energy of formation at 0.541 eV per atom. The value obtained for the energy is -40.7 eV/cell. Its density of states at the Fermi level is 0.70 states/eV/atom.

The structure in CIF format:
```
data_KNa2SrBe
_symmetry_space_group_name_H-M 'P 4/m m m'
_symmetry_Int_Tables_number 123
_symmetry_space_group_name_Hall '-P 4 2'
_cell_length_a 5.7507
_cell_length_b 5.7507
_cell_length_c 6.0755
_cell_angle_alpha 90.00
_cell_angle_beta 90.00
_cell_angle_gamma 90.00
loop_
_atom_site_label
_atom_site_type_symbol
_atom_site_fract_x
_atom_site_fract_y
_atom_site_fract_z
K1 K 0.0000 0.0000 0.0000
Na1 Na 0.0000 0.5000 0.5000
Sr1 Sr 0.5000 0.5000 0.0000
Be1 Be 0.0000 0.0000 0.5000
```

DFT (SCAN) results for a crystal of La3SiAgSe7 relaxed with PBEsol.

Its density is 6.13 g/cm3. The volume comes out at 599 Å³ per cell. The value obtained for the energy is -662.0 eV/cell. The formation energy from raw total energies is -1.65 eV/atom. Its density of states at the Fermi level is 0.00 states/eV/atom.

The structure in CIF format:
```
data_La3SiAgSe7
_symmetry_space_group_name_H-M 'P 63'
_symmetry_Int_Tables_number 173
_symmetry_space_group_name_Hall 'P 6c'
_cell_length_a 10.7102
_cell_length_b 10.7102
_cell_length_c 6.0283
_cell_angle_alpha 90.00
_cell_angle_beta 90.00
_cell_angle_gamma 120.00
loop_
_atom_site_label
_atom_site_type_symbol
_atom_site_fract_x
_atom_site_fract_y
_atom_site_fract_z
La1 La 0.1258 0.7684 0.0000
Si1 Si 0.3333 0.6667 0.4129
Ag1 Ag 0.0000 0.0000 0.0441
Se1 Se 0.0937 0.8253 0.5121
Se2 Se 0.1078 0.5220 0.2653
Se3 Se 0.3333 0.6667 0.7876
```

DFT (SCAN) results for a crystal of ZrCo2 relaxed with PBEsol.

Its density is 7.88 g/cm3. The volume comes out at 176 Å³ per cell. The calculation puts the energy of formation at 0.217 eV per atom. The value obtained for the energy is -258.6 eV/cell. Its density of states at the Fermi level is 0.93 states/eV/atom.

The structure in CIF format:
```
data_ZrCo2
_symmetry_space_group_name_H-M 'C m c m'
_symmetry_Int_Tables_number 63
_symmetry_space_group_name_Hall '-C 2c 2'
_cell_length_a 2.7102
_cell_length_b 17.5950
_cell_length_c 3.6938
_cell_angle_alpha 90.00
_cell_angle_beta 90.00
_cell_angle_gamma 90.00
loop_
_atom_site_label
_atom_site_type_symbol
_atom_site_fract_x
_atom_site_fract_y
_atom_site_fract_z
Zr1 Zr 0.0000 0.1802 0.2500
Co1 Co 0.0000 0.0737 0.7500
Co2 Co 0.0000 0.4584 0.7500
```

DFT (SCAN) results for a crystal of TaIn2Sb relaxed with PBEsol.

Its density is 10.31 g/cm3. The volume comes out at 86 Å³ per cell. The value obtained for the energy is -169.0 eV/cell. The formation energy from raw total energies is 0.41 eV/atom. Its density of states at the Fermi level is 0.66 states/eV/atom.

The structure in CIF format:
```
data_TaIn2Sb
_symmetry_space_group_name_H-M 'P m m m'
_symmetry_Int_Tables_number 47
_symmetry_space_group_name_Hall '-P 2 2'
_cell_length_a 3.0945
_cell_length_b 4.7866
_cell_length_c 5.7911
_cell_angle_alpha 90.00
_cell_angle_beta 90.00
_cell_angle_gamma 90.00
loop_
_atom_site_label
_atom_site_type_symbol
_atom_site_fract_x
_atom_site_fract_y
_atom_site_fract_z
Ta1 Ta 0.0000 0.0000 0.0000
In1 In 0.5000 0.5000 0.2399
Sb1 Sb 0.0000 0.0000 0.5000
```

DFT (SCAN) results for a crystal of BaLaPb2 relaxed with PBEsol.

Its density is 8.61 g/cm3. The volume comes out at 133 Å³ per cell. The calculation puts the energy of formation at -0.788 eV per atom. The value obtained for the energy is -237.4 eV/cell. Its density of states at the Fermi level is 0.68 states/eV/atom.

The structure in CIF format:
```
data_BaLaPb2
_symmetry_space_group_name_H-M 'P m m m'
_symmetry_Int_Tables_number 47
_symmetry_space_group_name_Hall '-P 2 2'
_cell_length_a 3.7401
_cell_length_b 4.7028
_cell_length_c 7.5770
_cell_angle_alpha 90.00
_cell_angle_beta 90.00
_cell_angle_gamma 90.00
loop_
_atom_site_label
_atom_site_type_symbol
_atom_site_fract_x
_atom_site_fract_y
_atom_site_fract_z
Ba1 Ba 0.0000 0.0000 0.0000
La1 La 0.0000 0.0000 0.5000
Pb1 Pb 0.5000 0.5000 0.2808
```